# 1
First-principles (GGA-PBE) data for a geometry-optimized NaTaMnP2 structure, as listed in Alexandria via LeMat-Bulk.

Cell and atoms, written as POSCAR:
```
NaTaMnP2
1.0
4.674 0.000 0.000
0.000 4.154 0.000
0.000 0.000 4.674
Na Mn P Ta
1 1 2 1
direct
0.000 0.000 0.000
0.000 0.500 0.000
0.500 0.000 0.000
0.000 0.000 0.500
0.500 0.500 0.500
```

Summary:
For the energy of formation, the calculation gives 1.59 eV/atom. For the total DFT energy (no corrections), the calculation gives -5.039 eV per atom.

=====

# 2
First-principles (GGA-PBE) data for a geometry-optimized AcPm2Nd5 structure, as listed in Alexandria via LeMat-Bulk.

Cell and atoms, written as POSCAR:
```
AcPm2Nd5
1.0
1.104 4.569 8.704
-4.668 -12.139 8.574
5.418 -6.915 4.546
Ac Nd Pm
4 20 8
direct
0.041 0.875 0.835
0.959 0.125 0.165
0.585 0.628 0.786
0.415 0.372 0.214
0.914 0.377 0.704
0.962 0.625 0.666
0.913 0.873 0.211
0.087 0.127 0.789
0.709 0.626 0.414
0.038 0.375 0.334
0.663 0.875 0.959
0.170 0.873 0.456
0.794 0.376 0.083
0.541 0.374 0.829
0.210 0.124 0.417
0.790 0.876 0.583
0.291 0.374 0.586
0.459 0.626 0.171
0.417 0.878 0.707
0.086 0.623 0.296
0.583 0.122 0.293
0.337 0.125 0.041
0.830 0.127 0.544
0.206 0.624 0.917
0.461 0.122 0.674
0.708 0.124 0.915
0.539 0.878 0.326
0.668 0.375 0.460
0.167 0.378 0.952
0.332 0.625 0.540
0.292 0.876 0.085
0.833 0.622 0.048
```

Summary:
For the energy of formation, the calculation gives 0.04 eV/atom. For the total DFT energy (no corrections), the calculation gives -4.642 eV per atom.

=====

# 3
First-principles (GGA-PBE) data for a geometry-optimized La2MgZn structure, as listed in Alexandria via LeMat-Bulk.

Cell and atoms, written as POSCAR:
```
La2MgZn
1.0
10.498 -0.030 -0.018
9.854 3.622 -0.018
9.854 1.739 3.177
Mg La Zn
1 2 1
direct
0.250 0.250 0.250
0.493 0.493 0.493
0.007 0.007 0.007
0.750 0.750 0.750
```

Summary:
For the energy of formation, the calculation gives -0.03 eV/atom. For the total DFT energy (no corrections), the calculation gives -3.207 eV per atom.

=====

# 4
First-principles (GGA-PBE) data for a geometry-optimized Pu2MgZrAs4 structure, as listed in Alexandria via LeMat-Bulk.

Cell and atoms, written as POSCAR:
```
Pu2MgZrAs4
1.0
-1.367 2.275 3.052
-6.109 -3.573 -0.072
4.449 -2.994 4.225
Pu Zr Mg As
2 1 1 4
direct
0.000 0.500 0.500
0.500 0.000 0.500
0.000 0.000 0.000
0.500 0.500 0.000
0.500 0.241 0.239
0.000 0.249 0.762
0.500 0.759 0.761
0.000 0.751 0.238
```

Summary:
For the energy of formation, the calculation gives -0.92 eV/atom. For the total DFT energy (no corrections), the calculation gives -8.093 eV per atom.

=====

Repeat the third record exactly.
First-principles (GGA-PBE) data for a geometry-optimized La2MgZn structure, as listed in Alexandria via LeMat-Bulk.

Cell and atoms, written as POSCAR:
```
La2MgZn
1.0
10.498 -0.030 -0.018
9.854 3.622 -0.018
9.854 1.739 3.177
Mg La Zn
1 2 1
direct
0.250 0.250 0.250
0.493 0.493 0.493
0.007 0.007 0.007
0.750 0.750 0.750
```

Summary:
For the energy of formation, the calculation gives -0.03 eV/atom. For the total DFT energy (no corrections), the calculation gives -3.207 eV per atom.

=====

- The lowest total DFT energy (no corrections) belongs to which entry?
  Pu2MgZrAs4

=====

- What is the energy of formation in the fourth record?
  -0.92 eV/atom